Entry 1:
The following is a GGA-PBE calculation of a geometry-optimized Cs2LiYBr6 structure, from Alexandria.

Structure (POSCAR):
```
Cs2LiYBr6
1.0
3.970 2.292 13.217
-3.970 2.292 13.217
0.000 -4.584 13.217
Cs Li Y Br
4 2 2 12
Cartesian
0.000 0.000 4.980 Cs
0.000 0.000 11.521 Cs
0.000 0.000 28.130 Cs
0.000 0.000 34.671 Cs
0.000 0.000 0.000 Li
0.000 0.000 19.825 Li
0.000 0.000 16.403 Y
0.000 0.000 23.248 Y
-1.916 -1.106 18.132 Br
0.000 -2.312 14.827 Br
-2.002 1.156 14.827 Br
-2.002 -1.156 24.824 Br
0.000 -2.212 21.518 Br
-1.916 1.106 21.518 Br
1.916 -1.106 18.132 Br
0.000 2.212 18.132 Br
2.002 1.156 14.827 Br
2.002 -1.156 24.824 Br
0.000 2.312 24.824 Br
1.916 1.106 21.518 Br
```

Magnetization: 0.0 μB/cell
DFT total energy: -3.836 eV/atom
Crystal system: trigonal

Entry 2:
The following is a GGA-PBE calculation of a geometry-optimized Cs3Li2YBr9 structure, from Alexandria.

Structure (POSCAR):
```
Cs3Li2YBr9
1.0
7.836 0.000 0.000
-3.918 6.786 0.000
0.000 0.000 9.768
Cs Li Y Br
3 2 1 9
Cartesian
0.000 0.000 0.000 Cs
0.000 4.524 6.587 Cs
3.918 2.262 3.182 Cs
0.000 4.524 1.415 Li
3.918 2.262 8.354 Li
0.000 0.000 4.884 Y
-1.959 3.393 0.000 Br
0.000 2.279 3.259 Br
-1.944 5.647 3.259 Br
1.974 1.139 6.509 Br
3.918 0.000 0.000 Br
1.959 3.393 0.000 Br
1.944 5.647 3.259 Br
5.862 1.139 6.509 Br
3.918 4.507 6.509 Br
```

Magnetization: 0.6 μB/cell
DFT total energy: -3.470 eV/atom
Crystal system: trigonal